1) Density functional theory data (PBE) for an optimized crystal structure of As2POsSe.

It has space group P4/mmm (No. 123), with a = 4.5126 Å, b = 4.5126 Å, c = 4.6651 Å, α = 90.00°, β = 90.00° and γ = 90.00°. Symmetry generates all atoms from As at (0.0000, 0.5000, 0.0000), P at (0.0000, 0.0000, 0.0000), Os at (0.5000, 0.5000, 0.5000) and Se at (0.0000, 0.0000, 0.5000).

The value obtained for the total magnetization is 0.0000 μB per atom. For the density, the calculation gives 7.9 g/cm³.

=====

2) Density functional theory data (PBE) for an optimized crystal structure of As2POsSe.

It has space group P4/mmm (No. 123), with a = 4.6389 Å, b = 4.6389 Å, c = 5.2969 Å, α = 90.00°, β = 90.00° and γ = 90.00°. Symmetry generates all atoms from As at (0.0000, 0.5000, 0.0000), P at (0.0000, 0.0000, 0.5000), Os at (0.5000, 0.5000, 0.0000) and Se at (0.5000, 0.5000, 0.5000).

The value obtained for the total magnetization is 0.0000 μB per atom. For the density, the calculation gives 6.6 g/cm³.

=====

Q: Which of them is the least stable? A: 1).